Density functional theory data (PBE) for crystalline Np2Bi5Pb at its relaxed geometry.

Lattice parameters (Å, degrees): 4.973 9.544 9.973 90.00 90.00 90.00
Each line ends with the local moment (μB).
Sites, in units of the cell vectors:
Bi  0.500  0.744  0.500  -0.04
Bi  0.000  0.500  0.000  -0.04
Bi  0.500  0.244  0.000  -0.04
Bi  0.500  0.756  0.000  -0.04
Bi  0.000  0.750  0.750  -0.04
Bi  0.000  0.250  0.750  -0.04
Bi  0.000  0.250  0.250  -0.04
Bi  0.000  0.000  0.500  -0.04
Bi  0.000  0.750  0.250  -0.04
Bi  0.500  0.256  0.500  -0.04
Np  0.500  0.000  0.258  4.07
Np  0.500  0.500  0.242  4.07
Np  0.500  0.000  0.742  4.07
Np  0.500  0.500  0.758  4.07
Pb  0.000  0.000  0.000  0.01
Pb  0.000  0.500  0.500  0.01

The density of states at the Fermi level comes out at 24.2 states/eV/f.u. Its total moment is 8.4 μB per formula unit. As for the calculated formation energy: 0.1 eV per formula unit.